Entry from Alexandria: a relaxed AcCe2Si2Au2 crystal (PBE).

Lattice parameters (Å, degrees): 10.056 10.056 10.056 25.25 25.25 25.25
Element x y z (fractional)
Ac  0.000  0.000  0.000
Ce  0.143  0.143  0.143
Ce  0.857  0.857  0.857
Si  0.252  0.252  0.252
Si  0.748  0.748  0.748
Au  0.409  0.409  0.409
Au  0.591  0.591  0.591

## Properties
- formation energy without anion corrections (meV per atom) = -637
- volume (Å³/cell) = 162.9
- N(E_F) (states/eV per cell) = 9.05
- size of the total moment (μB/f.u.) = 1.53